Entry 1:
Entry from Alexandria: LaZnRh2I after structural relaxation (PBE).

## Properties
E_tot: -19.046 eV/cell
Symmetry: No. 123
Formation energy without anion corrections: 0.68 eV/atom

Unit cell a=4.9410 b=5.9209 c=4.9410 alpha=90.00 beta=90.00 gamma=90.00
Atoms (fractional coordinates):
1 La 0.0000 0.0000 0.0000
2 Rh 0.5000 0.0000 0.0000
3 Zn 0.0000 0.5000 0.0000
4 Rh 0.0000 0.0000 0.5000
5 I 0.5000 0.5000 0.5000

***

Entry 2:
Entry from Alexandria: La4AgOsCl2 after structural relaxation (PBE).

## Properties
E_tot: -44.803 eV/cell
Symmetry: No. 10
Formation energy without anion corrections: -0.91 eV/atom

Unit cell a=4.2505 b=7.4435 c=7.9813 alpha=107.77 beta=90.00 gamma=90.00
Atoms (fractional coordinates):
1 La 0.5000 0.7299 0.7830
2 La 0.0000 0.2796 0.7893
3 La 0.0000 0.7204 0.2107
4 La 0.5000 0.2701 0.2170
5 Cl 0.5000 0.0000 0.5000
6 Os 0.5000 0.5000 0.0000
7 Cl 0.0000 0.5000 0.5000
8 Ag 0.0000 0.0000 0.0000

***

Entry 3:
Entry from Alexandria: RbSn2Pd2 after structural relaxation (PBE).

## Properties
Energy above the most stable polymorph in this dataset: 0 meV per atom
Formation enthalpy at 0 K: -0.39 eV/atom
E_tot: -21.287 eV/cell
Symmetry: No. 139

Unit cell a=4.8974 b=4.8974 c=6.5839 alpha=68.17 beta=68.17 gamma=90.00
Atoms (fractional coordinates):
1 Pd 0.2500 0.7500 0.5000
2 Sn 0.3498 0.3498 0.3005
3 Rb 0.0000 0.0000 0.0000
4 Sn 0.6502 0.6502 0.6995
5 Pd 0.7500 0.2500 0.5000

***

Entry 4:
Entry from Alexandria: Sn2MoOs after structural relaxation (PBE).

## Properties
Energy above the most stable polymorph in this dataset: 0 meV per atom
Formation enthalpy at 0 K: 0.43 eV/atom
E_tot: -28.357 eV/cell
Symmetry: No. 225

Unit cell a=4.6452 b=4.6452 c=4.6452 alpha=60.00 beta=60.00 gamma=60.00
Atoms (fractional coordinates):
1 Sn 0.2500 0.2500 0.2500
2 Mo 0.0000 0.0000 0.0000
3 Os 0.5000 0.5000 0.5000
4 Sn 0.7500 0.7500 0.7500

***

| no. | DOS(E_F) (states/eV/f.u.) |
| --- | --- |
| 1 | 0.89 |
| 2 | 5.81 |
| 3 | 1.56 |
| 4 | 5.84 |